Compound: HoThHgC
Source: Alexandria via LeMat-Bulk
Functional: PBE
Structure: relaxed

Unit cell a=3.6333 b=3.6333 c=24.1305 alpha=90.00 beta=90.00 gamma=120.00
Space group R3m (No. 160, hexagonal axes)
Unique sites:
1 Ho 0.0000 0.0000 0.0000
2 Th 0.0000 0.0000 0.2175
3 Hg 0.0000 0.0000 0.7701
4 C 0.0000 0.0000 0.6103

DFT formation energy = -358 meV per atom


Compound: NdPu4In15
Source: Alexandria via LeMat-Bulk
Functional: PBE
Structure: relaxed

Unit cell a=4.671 b=4.671 c=23.358 alpha=90.00 beta=90.00 gamma=90.00
Space group P4/mmm (No. 123)
Unique sites:
1 Nd 0.000 0.000 0.000
2 Pu 0.000 0.000 0.201
3 Pu 0.000 0.000 0.400
4 In 0.000 0.500 0.103
5 In 0.000 0.500 0.301
6 In 0.000 0.500 0.500
7 In 0.500 0.500 0.000
8 In 0.500 0.500 0.201
9 In 0.500 0.500 0.400

DFT formation energy = -273 meV per atom


Compound: ZrSeI
Source: Alexandria via LeMat-Bulk
Functional: PBE
Structure: relaxed

Unit cell a=3.8322 b=3.8322 c=7.0654 alpha=90.00 beta=90.00 gamma=120.00
Space group P3m1 (No. 156)
Unique sites:
1 Zr 0.0000 0.0000 0.0000
2 Se 0.6667 0.3333 0.2191
3 I 0.3333 0.6667 0.7164

Raw formation energy = -1055 meV/atom